The following is a DFT calculation (PBE) of a relaxed structure of CeTmHg5.

Unit cell a=5.367 b=5.367 c=6.899 alpha=90.01 beta=90.01 gamma=107.46
Positions (direct):
Hg 0.500 0.000 0.246
Hg 0.500 0.000 0.754
Hg 0.000 0.000 0.500
Hg 0.000 0.500 0.754
Hg 0.000 0.500 0.246
Ce 0.000 0.000 0.000
Tm 0.500 0.500 0.500

SG: No. 65
Total energy (eV per cell): -13.3
Energy of formation from the pure elements (eV per atom): -0.2046